[1]
Material: Ba2FeP
Method: DFT, PBE
State: optimized geometry

Values from the calculation:
ΔE_f, eV per atom: 0.09
Final energy, hartree per atom: -0.1593

a b c (Å): 3.856 3.856 9.464
angles (deg): 90.00 90.00 108.09
Site moments in Bohr magnetons follow the coordinates.
Fractional positions:
Ba1 0.500 0.500 0.341  -0.13
Ba2 0.000 0.000 0.900  0.03
P1 0.500 0.500 0.668  0.04
Fe1 0.000 0.000 0.591  2.67

[2]
Material: BaFe2P
Method: DFT, PBE
State: optimized geometry

Values from the calculation:
ΔE_f, eV per atom: 0.37
Final energy, hartree per atom: -0.2094

a b c (Å): 3.207 3.207 7.111
angles (deg): 90.00 90.00 90.00
Site moments in Bohr magnetons follow the coordinates.
Fractional positions:
P1 0.500 0.500 0.250  -0.03
Fe1 0.000 0.000 0.405  2.27
Fe2 0.000 0.000 0.095  2.27
Ba1 0.500 0.500 0.750  -0.09

[3]
Material: BaFe2P
Method: DFT, PBE
State: optimized geometry

Values from the calculation:
ΔE_f, eV per atom: 0.36
Final energy, hartree per atom: -0.2096

a b c (Å): 5.492 5.492 5.492
angles (deg): 143.58 115.83 76.09
Site moments in Bohr magnetons follow the coordinates.
Fractional positions:
Ba1 0.250 0.750 0.500  -0.07
Fe1 0.587 0.587 0.000  2.31
Fe2 0.913 0.913 0.000  2.31
P1 0.750 0.250 0.500  -0.02

[4]
Material: BaFe2P
Method: DFT, PBE
State: optimized geometry

Values from the calculation:
ΔE_f, eV per atom: -0.27
Final energy, hartree per atom: -0.2329

a b c (Å): 4.008 4.008 6.191
angles (deg): 71.00 71.00 60.00
Site moments in Bohr magnetons follow the coordinates.
Fractional positions:
Fe1 0.431 0.431 0.706  1.49
Fe2 0.069 0.069 0.794  1.49
P1 0.750 0.750 0.750  -0.01
Ba1 0.250 0.250 0.250  -0.13

[5]
Material: Ba2FeP2
Method: DFT, PBE
State: optimized geometry

Values from the calculation:
ΔE_f, eV per atom: -0.29
Final energy, hartree per atom: -0.1805

a b c (Å): 6.934 6.934 5.075
angles (deg): 90.00 90.00 90.00
Site moments in Bohr magnetons follow the coordinates.
Fractional positions:
Ba1 0.818 0.318 0.500  -0.02
Ba2 0.682 0.818 0.500  -0.03
Ba3 0.182 0.682 0.500  -0.02
Ba4 0.318 0.182 0.500  -0.03
P1 0.620 0.120 0.000  -0.01
P2 0.120 0.380 0.000  0.00
P3 0.880 0.620 0.000  0.00
P4 0.380 0.880 0.000  -0.01
Fe1 0.500 0.500 0.000  2.78
Fe2 0.000 0.000 0.000  2.78

[6]
Material: BaFe2P
Method: DFT, PBE
State: optimized geometry

Values from the calculation:
ΔE_f, eV per atom: 0.13
Final energy, hartree per atom: -0.2181

a b c (Å): 4.714 4.714 8.288
angles (deg): 73.48 73.48 90.00
Fractional positions:
P1 0.250 0.750 0.500
P2 0.500 0.500 0.000
Fe1 0.375 0.625 0.250
Fe2 0.375 0.625 0.750
Fe3 0.375 0.125 0.250
Fe4 0.875 0.625 0.750
Ba1 0.750 0.250 0.500
Ba2 0.000 0.000 0.000

Look up the ΔE_f of the second one. 0.37 eV per atom

Among the records above, which one has the lowest ΔE_f? Ba2FeP2

The highest final energy belongs to which entry? Ba2FeP

What did the first record say?
Material: Ba2FeP
Method: DFT, PBE
State: optimized geometry

Values from the calculation:
ΔE_f, eV per atom: 0.09
Final energy, hartree per atom: -0.1593

a b c (Å): 3.856 3.856 9.464
angles (deg): 90.00 90.00 108.09
Site moments in Bohr magnetons follow the coordinates.
Fractional positions:
Ba1 0.500 0.500 0.341  -0.13
Ba2 0.000 0.000 0.900  0.03
P1 0.500 0.500 0.668  0.04
Fe1 0.000 0.000 0.591  2.67